# Er3Mg2Zn | Alexandria via LeMat-Bulk | PBE | relaxed
# spin magnetization: 0.000 μB per atom
# DFT total energy: -19.1 eV/f.u.
data_Er3Mg2Zn
_cell_length_a 3.6191
_cell_length_b 3.6191
_cell_length_c 11.5060
_cell_angle_alpha 90.00
_cell_angle_beta 90.00
_cell_angle_gamma 90.00
_space_group_name_H-M_alt 'P 1'
_space_group_IT_number 1
loop_
_space_group_symop_operation_xyz
'x,y,z'
loop_
_atom_site_label
_atom_site_type_symbol
_atom_site_fract_x
_atom_site_fract_y
_atom_site_fract_z
Er1 Er 0.0000 0.0000 0.0000
Er2 Er 0.0000 0.0000 0.6474
Er3 Er 0.0000 0.0000 0.3526
Mg1 Mg 0.5000 0.5000 0.8265
Mg2 Mg 0.5000 0.5000 0.1735
Zn1 Zn 0.5000 0.5000 0.5000